# 1
Here is CeNdBi2 after structural relaxation from Alexandria. Energies are from GGA-PBE.

As for the formation energy: -0.7027 eV per atom. As for the energy above the most stable polymorph in this dataset: 172 meV/atom. Its crystal system is tetragonal.

a = 3.4409 Å, b = 5.9756 Å, c = 5.9756 Å
α = 90.00°, β = 90.00°, γ = 90.00°
With the nearest neighbours (Å) after each atom.
Fractional coordinates of all 4 atoms:
Nd 0.5000 0.0000 0.0000  2 Nd 3.44, 8 Bi 3.45
Bi 0.0000 0.0000 0.5000  2 Bi 3.44, 4 Ce 3.45, 4 Nd 3.45
Bi 0.0000 0.5000 0.0000  2 Bi 3.44, 4 Ce 3.45, 4 Nd 3.45
Ce 0.5000 0.5000 0.5000  2 Ce 3.44, 8 Bi 3.45



# 2
Here is PrHo5Pd2 after structural relaxation from Alexandria. Energies are from GGA-PBE.

As for the formation energy: -0.3756 eV per atom. Its crystal system is orthorhombic.

a = 3.8345 Å, b = 6.7390 Å, c = 18.0727 Å
α = 90.00°, β = 90.00°, γ = 106.53°
With the nearest neighbours (Å) after each atom.
Fractional coordinates of all 16 atoms:
Pr 0.6508 0.3016 0.7500  4 Pd 3.30, 3 Ho 3.42-3.60
Pr 0.3492 0.6984 0.2500  4 Pd 3.30, 3 Ho 3.42-3.60
Ho 0.9469 0.8939 0.8995  2 Pd 3.09, 2 Ho 3.40
Ho 0.9469 0.8939 0.6005  2 Pd 3.09, 2 Ho 3.40
Ho 0.3444 0.6888 0.4567  2 Pd 2.78
Ho 0.3444 0.6888 0.0433  2 Pd 2.78
Ho 0.6135 0.2271 0.2500  2 Pd 2.78
Ho 0.3865 0.7729 0.7500  2 Pd 2.78
Ho 0.6556 0.3112 0.5433  2 Pd 2.78
Ho 0.6556 0.3112 0.9567  2 Pd 2.78
Ho 0.0531 0.1061 0.1005  2 Pd 3.09, 2 Ho 3.40
Ho 0.0531 0.1061 0.3995  2 Pd 3.09, 2 Ho 3.40
Pd 0.7380 0.4759 0.3757  5 Ho 2.78-3.09
Pd 0.7380 0.4759 0.1243  5 Ho 2.78-3.09
Pd 0.2620 0.5241 0.6243  5 Ho 2.78-3.09
Pd 0.2620 0.5241 0.8757  5 Ho 2.78-3.09



# 3
Here is Tb2SmTmSc4 after structural relaxation from Alexandria. Energies are from GGA-PBE.

As for the formation energy: 0.0527 eV per atom. Its crystal system is tetragonal.

a = 4.9010 Å, b = 4.9016 Å, c = 10.5228 Å
α = 62.25°, β = 90.00°, γ = 90.00°
With the nearest neighbours (Å) after each atom.
Fractional coordinates of all 8 atoms:
Tb 0.0000 0.0000 0.0000  8 Sc 3.39, 4 Sm 3.47
Tb 0.5000 0.0000 0.5000  8 Sc 3.37, 4 Tm 3.47
Sm 0.5000 0.5000 0.0000  8 Sc 3.39, 4 Tb 3.47
Tm 0.0000 0.5000 0.5000  8 Sc 3.37, 4 Tb 3.47
Sc 0.0000 0.7519 0.7481  2 Tm 3.37, 4 Tb 3.37-3.39, 2 Sm 3.39, 4 Sc 3.47
Sc 0.0000 0.2481 0.2519  2 Tm 3.37, 4 Tb 3.37-3.39, 2 Sm 3.39, 4 Sc 3.47
Sc 0.5000 0.7481 0.2519  2 Tm 3.37, 4 Tb 3.37-3.39, 2 Sm 3.39, 4 Sc 3.47
Sc 0.5000 0.2519 0.7481  2 Tm 3.37, 4 Tb 3.37-3.39, 2 Sm 3.39, 4 Sc 3.47



# 4
Here is NdDy4Er after structural relaxation from Alexandria. Energies are from GGA-PBE.

As for the formation energy: -0.0032 eV per atom. As for the energy above the most stable polymorph in this dataset: 0 meV/atom. Its crystal system is monoclinic.

a = 8.8494 Å, b = 8.8494 Å, c = 6.2048 Å
α = 83.34°, β = 83.34°, γ = 23.36°
With the nearest neighbours (Å) after each atom.
Fractional coordinates of all 6 atoms:
Nd 0.5000 0.5000 0.0000  6 Dy 3.54-3.55, 4 Er 3.58, 2 Nd 3.58
Dy 0.1671 0.1671 0.1117  9 Dy 3.51-3.58, 1 Er 3.54, 2 Nd 3.54
Dy 0.8329 0.8329 0.8883  9 Dy 3.51-3.58, 1 Er 3.54, 2 Nd 3.54
Dy 0.6675 0.6675 0.6113  9 Dy 3.51-3.58, 1 Nd 3.55, 2 Er 3.55
Dy 0.3325 0.3325 0.3887  9 Dy 3.51-3.58, 1 Nd 3.55, 2 Er 3.55
Er 0.0000 0.0000 0.5000  6 Dy 3.54-3.55, 4 Nd 3.58, 2 Er 3.58



# 5
Here is KBa2NdSe4 after structural relaxation from Alexandria. Energies are from GGA-PBE.

The value obtained for the formation energy without anion corrections is -1410.1 kJ/mol of formula units. Its crystal system is monoclinic.

a = 4.5660 Å, b = 7.8389 Å, c = 7.9878 Å
α = 71.30°, β = 90.00°, γ = 90.00°
With the nearest neighbours (Å) after each atom.
Fractional coordinates of all 8 atoms:
K 0.5000 0.5000 0.0000  6 Se 3.22-3.28
Ba 0.0000 0.0000 0.0000  6 Se 3.40-3.43
Ba 0.5000 0.0000 0.5000  6 Se 3.22-3.23
Nd 0.0000 0.5000 0.5000  6 Se 3.00-3.10
Se 0.0000 0.7364 0.7302  1 Nd 3.00, 2 Ba 3.23, 2 K 3.28
Se 0.0000 0.2636 0.2698  1 Nd 3.00, 2 Ba 3.23, 2 K 3.28
Se 0.5000 0.7270 0.2722  2 Nd 3.10, 1 K 3.22, 3 Ba 3.22-3.40
Se 0.5000 0.2730 0.7278  2 Nd 3.10, 1 K 3.22, 3 Ba 3.22-3.40



# 6
Here is LiAgCl after structural relaxation from Alexandria. Energies are from GGA-PBE.

As for the energy above the most stable polymorph in this dataset: 274 meV/atom. The value obtained for the formation energy without anion corrections is -202.8 kJ/mol of formula units. Its crystal system is tetragonal.

a = 7.2906 Å, b = 7.2898 Å, c = 3.2377 Å
α = 77.18°, β = 77.16°, γ = 25.66°
With the nearest neighbours (Å) after each atom.
Fractional coordinates of all 3 atoms:
Ag 0.9782 0.9782 0.0218  1 Cl 3.20, 4 Ag 3.24
Cl 0.7467 0.7467 0.2533  4 Li 2.32
Li 0.2751 0.2751 0.7249  4 Cl 2.32



# 7
Here is MgSn4O9 after structural relaxation from Alexandria. Energies are from GGA-PBE.

The value obtained for the formation energy without anion corrections is -2179.9 kJ/mol of formula units. Its crystal system is tetragonal.

a = 8.0813 Å, b = 8.0813 Å, c = 5.1416 Å
α = 90.00°, β = 90.00°, γ = 90.00°
With the nearest neighbours (Å) after each atom.
Fractional coordinates of all 28 atoms:
Mg 0.5000 0.0000 0.7392  4 O 2.15
Mg 0.0000 0.5000 0.2608  4 O 2.15
Sn 0.3893 0.7086 0.2713  6 O 2.08-2.24
Sn 0.2914 0.3893 0.7287  6 O 2.08-2.24
Sn 0.7914 0.8893 0.2713  6 O 2.08-2.24
Sn 0.8893 0.2086 0.7287  6 O 2.08-2.24
Sn 0.6107 0.2914 0.2713  6 O 2.08-2.24
Sn 0.2086 0.1107 0.2713  6 O 2.08-2.24
Sn 0.1107 0.7914 0.7287  6 O 2.08-2.24
Sn 0.7086 0.6107 0.7287  6 O 2.08-2.24
O 0.5000 0.5000 0.5000  4 Sn 2.24
O 0.0000 0.0000 0.5000  4 Sn 2.24
O 0.7557 0.4211 0.9909  2 Sn 2.08-2.13
O 0.9211 0.7443 0.9909  2 Sn 2.08-2.13
O 0.0789 0.2557 0.9909  2 Sn 2.08-2.13
O 0.2443 0.5789 0.9909  2 Sn 2.08-2.13
O 0.7443 0.0789 0.0091  2 Sn 2.08-2.13
O 0.5789 0.7557 0.0091  2 Sn 2.08-2.13
O 0.4211 0.2443 0.0091  2 Sn 2.08-2.13
O 0.2557 0.9211 0.0091  2 Sn 2.08-2.13
O 0.3998 0.1967 0.5058  3 Sn 2.08-2.22, 1 Mg 2.15
O 0.6967 0.1002 0.5058  3 Sn 2.08-2.22, 1 Mg 2.15
O 0.3033 0.8998 0.5058  3 Sn 2.08-2.22, 1 Mg 2.15
O 0.6002 0.8033 0.5058  3 Sn 2.08-2.22, 1 Mg 2.15
O 0.8998 0.6967 0.4942  3 Sn 2.08-2.22, 1 Mg 2.15
O 0.8033 0.3998 0.4942  3 Sn 2.08-2.22, 1 Mg 2.15
O 0.1967 0.6002 0.4942  3 Sn 2.08-2.22, 1 Mg 2.15
O 0.1002 0.3033 0.4942  3 Sn 2.08-2.22, 1 Mg 2.15



# 8
Here is TaMn after structural relaxation from Alexandria. Energies are from GGA-PBE.

As for the formation energy: 2.1520 eV per atom. Its crystal system is cubic.

a = 6.8277 Å, b = 6.8277 Å, c = 6.8277 Å
α = 90.00°, β = 90.00°, γ = 90.00°
With the nearest neighbours (Å) after each atom.
Fractional coordinates of all 12 atoms:
Ta 0.2500 0.5000 0.0000  4 Mn 2.41
Ta 0.7500 0.5000 0.0000  4 Mn 2.41
Ta 0.5000 0.0000 0.2500  4 Mn 2.41
Ta 0.5000 0.0000 0.7500  4 Mn 2.41
Ta 0.0000 0.2500 0.5000  4 Mn 2.41
Ta 0.0000 0.7500 0.5000  4 Mn 2.41
Mn 0.2500 0.0000 0.5000  4 Ta 2.41
Mn 0.7500 0.0000 0.5000  4 Ta 2.41
Mn 0.0000 0.5000 0.2500  4 Ta 2.41
Mn 0.0000 0.5000 0.7500  4 Ta 2.41
Mn 0.5000 0.2500 0.0000  4 Ta 2.41
Mn 0.5000 0.7500 0.0000  4 Ta 2.41



| no. | total magnetic moment (μB per formula unit) | uncorrected energy (eV/atom) |
| --- | --- | --- |
| 1 | 1.1 | -5.319 |
| 2 | 0.0 | -5.132 |
| 3 | 0.0 | -5.419 |
| 4 | 0.0 | -4.626 |
| 5 | 0.0 | -4.783 |
| 6 | 0.0 | -2.905 |
| 7 | 0.0 | -6.059 |
| 8 | 0.7 | -8.359 |